Below is a geometry-optimized CaH3S structure, with properties calculated at the GGA-PBE level.

Geometry as POSCAR:
```
CaH3S
1.0
-2.337 -1.721 -2.727
0.238 -3.450 1.974
-3.215 0.995 2.128
H S Ca
3 1 1
Cartesian
0.119 -1.725 0.987
-1.169 -0.860 -1.363
-1.608 0.498 1.064
-2.657 -2.088 0.688
0.000 0.000 0.000
```

Properties
density of states at the Fermi level	0.44	states/eV per atom
polymorph energy (0 for the lowest one)	0.2694	eV/atom
space group	Pm-3m, No. 221
total energy	-2.6978	eV per atom
crystal system	cubic
total magnetic moment	0.00	Bohr magnetons per cell


Below is a geometry-optimized Ca2HS structure, with properties calculated at the GGA-PBE level.

Geometry as POSCAR:
```
Ca2HS
1.0
0.000 3.330 3.330
3.330 0.000 3.330
3.330 3.330 0.000
H Ca S
1 2 1
Cartesian
0.000 0.000 0.000
4.995 4.995 4.995
1.665 1.665 1.665
3.330 3.330 3.330
```

Properties
density of states at the Fermi level	0.84	states/eV per atom
polymorph energy (0 for the lowest one)	0.2969	eV/atom
space group	Fm-3m, No. 225
total energy	-3.6830	eV per atom
crystal system	cubic
total magnetic moment	0.00	Bohr magnetons per cell


Below is a geometry-optimized Ca2HS structure, with properties calculated at the GGA-PBE level.

Geometry as POSCAR:
```
Ca2HS
1.0
-1.571 -2.527 -2.421
1.417 -0.399 -3.542
4.046 -5.592 0.171
S Ca H
1 2 1
Cartesian
3.916 -7.512 -3.819
2.975 -4.385 -0.393
0.944 -2.097 -1.463
2.049 -4.374 -2.842
```

Properties
density of states at the Fermi level	0.49	states/eV per atom
polymorph energy (0 for the lowest one)	0.0683	eV/atom
space group	R3m, No. 160
total energy	-3.9117	eV per atom
crystal system	trigonal
total magnetic moment	0.34	Bohr magnetons per cell